# Th2SnPd

Crystalline Th2SnPd at its relaxed geometry (PBE, Alexandria). Values from VASP.

Geometry as Quantum ESPRESSO input:
```
&SYSTEM
  ibrav = 0, nat = 4, ntyp = 3
/
ATOMIC_SPECIES
Pd 106.42 Pd.upf
Sn 118.71 Sn.upf
Th 232.04 Th.upf
ATOMIC_POSITIONS crystal
Pd 0.500 0.500 0.500
Sn 0.500 0.000 0.000
Th 0.000 0.000 0.500
Th 0.000 0.500 0.000
CELL_PARAMETERS angstrom
4.480 0.000 0.000
0.000 4.801 0.000
0.000 0.000 4.801
```

Energy of formation   -0.500 eV per atom
Volume   25.818 Å³ per atom
Final energy   -26.037 eV per cell
Space-group type   No. 123

# TaCu3

Crystalline TaCu3 at its relaxed geometry (PBE, Alexandria). Values from VASP.

Geometry as Quantum ESPRESSO input:
```
&SYSTEM
  ibrav = 0, nat = 4, ntyp = 2
/
ATOMIC_SPECIES
Cu 63.55 Cu.upf
Ta 180.95 Ta.upf
ATOMIC_POSITIONS crystal
Cu 0.000 0.000 0.000
Cu 0.000 0.500 0.500
Cu 0.500 0.000 0.500
Ta 0.500 0.500 0.000
CELL_PARAMETERS angstrom
-4.016 1.607 1.725
-1.312 -3.545 -2.719
0.220 -1.657 2.054
```

Energy of formation   0.243 eV per atom
Volume   13.952 Å³ per atom
Final energy   -23.168 eV per cell
Space-group type   No. 65

# ErTl2GeTe4

Crystalline ErTl2GeTe4 at its relaxed geometry (PBE, Alexandria). Values from VASP.

Geometry as Quantum ESPRESSO input:
```
&SYSTEM
  ibrav = 0, nat = 8, ntyp = 4
/
ATOMIC_SPECIES
Er 167.26 Er.upf
Tl 204.38 Tl.upf
Ge 72.64 Ge.upf
Te 127.60 Te.upf
ATOMIC_POSITIONS crystal
Er 0.000 0.500 0.500
Tl 0.000 0.000 0.000
Tl 0.500 0.000 0.500
Ge 0.500 0.500 0.000
Te 0.000 0.712 0.763
Te 0.000 0.288 0.237
Te 0.500 0.712 0.257
Te 0.500 0.288 0.743
CELL_PARAMETERS angstrom
-1.464 -1.798 3.694
-5.767 -3.999 -4.231
2.877 -6.847 -2.193
```

Volume   32.820 Å³ per atom
Final energy   -30.955 eV per cell
Uncorrected formation energy   -0.56 eV per atom
Space-group type   No. 10

# CaZnSe2

Crystalline CaZnSe2 at its relaxed geometry (PBE, Alexandria). Values from VASP.

Geometry as Quantum ESPRESSO input:
```
&SYSTEM
  ibrav = 0, nat = 4, ntyp = 3
/
ATOMIC_SPECIES
Zn 65.41 Zn.upf
Ca 40.08 Ca.upf
Se 78.96 Se.upf
ATOMIC_POSITIONS crystal
Zn 0.250 0.250 0.250
Ca 0.500 0.500 0.500
Se 0.000 0.000 0.000
Se 0.750 0.750 0.750
CELL_PARAMETERS angstrom
5.034 0.000 0.000
2.517 4.360 0.000
2.517 1.453 4.111
```

Volume   22.558 Å³ per atom
Final energy   -11.821 eV per cell
Uncorrected formation energy   -0.39 eV per atom
Space-group type   No. 216

# Pm2Tm3Hg2

Crystalline Pm2Tm3Hg2 at its relaxed geometry (PBE, Alexandria). Values from VASP.

Geometry as Quantum ESPRESSO input:
```
&SYSTEM
  ibrav = 0, nat = 7, ntyp = 3
/
ATOMIC_SPECIES
Pm 145.00 Pm.upf
Tm 168.93 Tm.upf
Hg 200.59 Hg.upf
ATOMIC_POSITIONS crystal
Pm 0.869 0.737 0.219
Pm 0.131 0.263 0.781
Tm 0.500 0.000 0.000
Tm 0.630 0.260 0.453
Tm 0.370 0.740 0.547
Hg 0.846 0.692 0.802
Hg 0.154 0.308 0.198
CELL_PARAMETERS angstrom
-0.694 -1.369 4.522
-4.130 -2.628 -3.952
7.271 -3.806 -0.036
```

Energy of formation   -0.205 eV per atom
Volume   29.632 Å³ per atom
Final energy   -24.957 eV per cell
Space-group type   No. 12

# Ac2YTl

Crystalline Ac2YTl at its relaxed geometry (PBE, Alexandria). Values from VASP.

Geometry as Quantum ESPRESSO input:
```
&SYSTEM
  ibrav = 0, nat = 4, ntyp = 3
/
ATOMIC_SPECIES
Y 88.91 Y.upf
Ac 227.00 Ac.upf
Tl 204.38 Tl.upf
ATOMIC_POSITIONS crystal
Y 0.500 0.500 0.500
Ac 0.250 0.250 0.250
Ac 0.750 0.750 0.750
Tl 0.000 0.000 0.000
CELL_PARAMETERS angstrom
5.912 0.000 0.000
2.956 5.120 0.000
2.956 1.707 4.827
```

Energy of formation   -0.014 eV per atom
Volume   36.536 Å³ per atom
Energy relative to the lowest polymorph listed for this composition   93 meV per atom
Final energy   -17.102 eV per cell
Space-group type   No. 225

# Y2HgTe2

Crystalline Y2HgTe2 at its relaxed geometry (PBE, Alexandria). Values from VASP.

Geometry as Quantum ESPRESSO input:
```
&SYSTEM
  ibrav = 0, nat = 5, ntyp = 3
/
ATOMIC_SPECIES
Y 88.91 Y.upf
Te 127.60 Te.upf
Hg 200.59 Hg.upf
ATOMIC_POSITIONS crystal
Y 0.750 0.250 0.500
Y 0.250 0.750 0.500
Te 0.359 0.359 0.283
Te 0.641 0.641 0.717
Hg 0.000 0.000 0.000
CELL_PARAMETERS angstrom
5.296 0.000 0.000
0.000 5.296 0.000
2.648 2.648 6.527
```

Volume   36.611 Å³ per atom
Energy relative to the lowest polymorph listed for this composition   211 meV per atom
Final energy   -23.473 eV per cell
Uncorrected formation energy   -0.79 eV per atom
Space-group type   No. 139

# La2Tb2TmSc

Crystalline La2Tb2TmSc at its relaxed geometry (PBE, Alexandria). Values from VASP.

Geometry as Quantum ESPRESSO input:
```
&SYSTEM
  ibrav = 0, nat = 12, ntyp = 4
/
ATOMIC_SPECIES
La 138.91 La.upf
Tb 158.93 Tb.upf
Tm 168.93 Tm.upf
Sc 44.96 Sc.upf
ATOMIC_POSITIONS crystal
La 0.500 0.168 0.076
La 0.000 0.345 0.254
La 0.500 0.668 0.924
La 0.000 0.845 0.746
Tb 0.000 0.342 0.906
Tb 0.500 0.167 0.423
Tb 0.000 0.842 0.094
Tb 0.500 0.667 0.577
Tm 0.500 0.185 0.740
Tm 0.500 0.685 0.260
Sc 0.000 0.839 0.421
Sc 0.000 0.339 0.579
CELL_PARAMETERS angstrom
5.676 0.000 0.000
0.000 6.278 0.000
0.000 0.000 10.856
```

Energy of formation   0.053 eV per atom
Volume   32.236 Å³ per atom
Final energy   -59.206 eV per cell
Space-group type   No. 26

# MnNbSe2S

Crystalline MnNbSe2S at its relaxed geometry (PBE, Alexandria). Values from VASP.

Geometry as Quantum ESPRESSO input:
```
&SYSTEM
  ibrav = 0, nat = 5, ntyp = 4
/
ATOMIC_SPECIES
Mn 54.94 Mn.upf
Nb 92.91 Nb.upf
Se 78.96 Se.upf
S 32.06 S.upf
ATOMIC_POSITIONS crystal
Mn 0.462 0.462 0.925
Nb 0.632 0.132 0.264
Se 0.275 0.275 0.550
Se 0.975 0.975 0.951
S 0.638 0.638 0.277
CELL_PARAMETERS angstrom
-0.085 1.167 -3.372
3.162 -3.323 -1.229
-6.434 -3.092 0.982
```

Volume   22.257 Å³ per atom
Energy relative to the lowest polymorph listed for this composition   0 meV per atom
Final energy   -32.889 eV per cell
Uncorrected formation energy   -0.51 eV per atom
Space-group type   No. 44

# Rb9Se3O2

Crystalline Rb9Se3O2 at its relaxed geometry (PBE, Alexandria). Values from VASP.

Geometry as Quantum ESPRESSO input:
```
&SYSTEM
  ibrav = 0, nat = 28, ntyp = 3
/
ATOMIC_SPECIES
Rb 85.47 Rb.upf
Se 78.96 Se.upf
O 16.00 O.upf
ATOMIC_POSITIONS crystal
Rb 0.728 0.923 0.091
Rb 0.077 0.909 0.272
Rb 0.250 0.409 0.091
Rb 0.577 0.772 0.409
Rb 0.591 0.909 0.750
Rb 0.909 0.750 0.591
Rb 0.228 0.591 0.423
Rb 0.591 0.423 0.228
Rb 0.909 0.272 0.077
Rb 0.091 0.728 0.923
Rb 0.409 0.577 0.772
Rb 0.409 0.091 0.250
Rb 0.772 0.409 0.577
Rb 0.091 0.250 0.409
Rb 0.423 0.228 0.591
Rb 0.750 0.591 0.909
Rb 0.923 0.091 0.728
Rb 0.272 0.077 0.909
Se 0.414 0.750 0.086
Se 0.250 0.914 0.586
Se 0.914 0.586 0.250
Se 0.086 0.414 0.750
Se 0.750 0.086 0.414
Se 0.586 0.250 0.914
O 0.146 0.146 0.146
O 0.646 0.646 0.646
O 0.854 0.854 0.854
O 0.354 0.354 0.354
CELL_PARAMETERS angstrom
9.798 -0.194 0.665
0.608 9.781 0.665
-0.211 -0.194 9.818
```

Volume   33.735 Å³ per atom
Final energy   -85.304 eV per cell
Uncorrected formation energy   -0.97 eV per atom
Space-group type   No. 167

# PPd5Au

Crystalline PPd5Au at its relaxed geometry (PBE, Alexandria). Values from VASP.

Geometry as Quantum ESPRESSO input:
```
&SYSTEM
  ibrav = 0, nat = 7, ntyp = 3
/
ATOMIC_SPECIES
P 30.97 P.upf
Pd 106.42 Pd.upf
Au 196.97 Au.upf
ATOMIC_POSITIONS crystal
P 0.000 0.000 0.500
Pd 0.500 0.000 0.698
Pd 0.000 0.500 0.698
Pd 0.500 0.500 0.000
Pd 0.000 0.500 0.302
Pd 0.500 0.000 0.302
Au 0.000 0.000 0.000
CELL_PARAMETERS angstrom
3.964 0.000 0.000
0.000 3.964 0.000
0.000 0.000 7.029
```

Energy of formation   -0.297 eV per atom
Volume   15.777 Å³ per atom
Final energy   -36.729 eV per cell
Space-group type   No. 123

# MgReBr2

Crystalline MgReBr2 at its relaxed geometry (PBE, Alexandria). Values from VASP.

Geometry as Quantum ESPRESSO input:
```
&SYSTEM
  ibrav = 0, nat = 4, ntyp = 3
/
ATOMIC_SPECIES
Br 79.90 Br.upf
Mg 24.30 Mg.upf
Re 186.21 Re.upf
ATOMIC_POSITIONS crystal
Br 0.000 0.000 0.000
Br 0.750 0.750 0.750
Mg 0.500 0.500 0.500
Re 0.250 0.250 0.250
CELL_PARAMETERS angstrom
-2.928 4.188 -0.717
-5.137 -0.357 0.327
-2.485 2.125 3.992
```

Volume   24.289 Å³ per atom
Energy relative to the lowest polymorph listed for this composition   1036 meV per atom
Final energy   -13.060 eV per cell
Uncorrected formation energy   1.08 eV per atom
Space-group type   No. 216